# LaY2Zn2 PBE optimized geometry
# * DOS(E_F): 1.30 states/eV per atom
# * E_form: -0.22 eV/atom
# * distance to the lowest polymorph of the same formula: 38 meV per atom
data_LaY2Zn2
_chemical_formula_sum 'La2 Y4 Zn4'
_cell_length_a 8.338
_cell_length_b 8.338
_cell_length_c 3.795
_cell_angle_alpha 90.00
_cell_angle_beta 90.00
_cell_angle_gamma 90.00
_space_group_name_H-M_alt 'P 4/m b m'
_space_group_IT_number 127
_space_group_name_Hall '-P 4 2ab'
loop_
_atom_site_label
_atom_site_fract_x
_atom_site_fract_y
_atom_site_fract_z
La1 0.000 0.000 0.000
Y1 0.164 0.336 0.500
Zn1 0.131 0.631 0.000